GGA+U LiGaFeF6, optimized geometry; energy = -5.093 eV/atom
1.0
-2.924 2.007 3.109
-3.346 0.259 -3.313
-3.134 -8.447 2.505
F Fe Ga Li
12 2 2 2
direct
0.712 0.712 0.336
0.788 0.212 0.836
0.306 0.306 0.987
0.194 0.806 0.487
0.212 0.788 0.836
0.288 0.288 0.336
0.692 0.692 0.677
0.308 0.308 0.677
0.808 0.192 0.177
0.192 0.808 0.177
0.806 0.194 0.487
0.694 0.694 0.987
0.000 0.000 0.668
0.500 0.500 0.168
0.000 0.000 0.334
0.500 0.500 0.834
0.000 0.000 0.997
0.500 0.500 0.497